# 1
Crystalline ScCuPb at its relaxed geometry. Source: Alexandria, functional PBE.

Computed properties:
Space group   Cm
Density of states at the Fermi level   1.998 states/eV/f.u.
Formation energy   -5.15 kcal/mol of atoms

abc: 4.5526 4.5526 7.4429
angles: 107.92 107.92 60.00
Closest atoms and distances in Å follow each position.
Atoms (fractional coordinates):
Sc (0.0000, 0.0000, 0.0000)  1 Cu 2.67
Sc (0.1688, 0.1688, 0.5035)  3 Cu 2.74
Cu (0.7512, 0.7512, 0.2530)  1 Cu 2.53, 3 Pb 2.63
Cu (0.8733, 0.8733, 0.6165)  1 Cu 2.53, 4 Sc 2.67-2.74
Pb (0.4102, 0.4102, 0.2298)  3 Cu 2.63
Pb (0.5907, 0.5907, 0.7691)  3 Cu 2.83-2.84, 3 Sc 3.07-3.09

---

# 2
Crystalline ScCuPb at its relaxed geometry. Source: Alexandria, functional PBE.

Computed properties:
Space group   P3m1
Density of states at the Fermi level   0.650 states/eV/f.u.
Formation energy   0.05 kcal/mol of atoms

abc: 3.5722 3.5722 6.1004
angles: 90.00 90.00 120.00
Closest atoms and distances in Å follow each position.
Atoms (fractional coordinates):
Sc (0.0000, 0.0000, 0.0000)  3 Cu 2.65
Cu (0.6667, 0.3333, 0.2732)  3 Sc 2.65, 3 Pb 2.83
Pb (0.3333, 0.6667, 0.5900)  3 Cu 2.83

---

# 3
Crystalline ScCuPb at its relaxed geometry. Source: Alexandria, functional PBE.

Computed properties:
Space group   P-6m2
Density of states at the Fermi level   0.738 states/eV/f.u.
Formation energy   -5.65 kcal/mol of atoms

abc: 4.4889 4.4889 7.1248
angles: 90.00 90.00 120.00
Closest atoms and distances in Å follow each position.
Atoms (fractional coordinates):
Sc (0.0000, 0.0000, 0.0000)  6 Cu 2.88
Sc (0.0000, 0.0000, 0.5000)  6 Pb 3.06
Cu (0.6667, 0.3333, 0.1762)  1 Cu 2.51, 3 Pb 2.68
Cu (0.6667, 0.3333, 0.8238)  1 Cu 2.51, 3 Pb 2.68
Pb (0.3333, 0.6667, 0.2704)  3 Cu 2.68
Pb (0.3333, 0.6667, 0.7296)  3 Cu 2.68